Density functional theory data (PBE) for a geometry-optimized YMoAs2Se structure.

## Properties
The value obtained for the energy above the most stable polymorph in this dataset is 980 meV/atom. The mass density is 4.45 Mg/m³. Its density of states at the Fermi level is 4.11 states/eV per cell. The uncorrected formation energy comes out at 0.84 eV/atom. The calculated total energy comes out at -5.179 eV/atom. The calculation puts the magnetization at 0.704 μB/atom.

Unit cell a=5.380 b=5.380 c=5.336 alpha=90.00 beta=90.00 gamma=90.00
Atoms (fractional coordinates):
Y  0.000  0.000  0.000
Mo  0.500  0.500  0.500
As  0.000  0.500  0.000
As  0.500  0.000  0.000
Se  0.000  0.000  0.500